PPbSe after structural relaxation. Source: Alexandria via LeMat-Bulk, functional PBE.

Values from the calculation:
**E_form (uncorrected)**: 0.3230 eV per atom
**Symmetry**: F-43m, No. 216
**Energy above the lowest structure with this stoichiometry**: 0.61 eV per formula unit

abc: 4.7789 4.7789 4.7789
angles: 60.00 60.00 60.00
Fractional coordinates of all 3 atoms:
P 0.7500 0.7500 0.7500
Se 0.5000 0.5000 0.5000
Pb 0.0000 0.0000 0.0000

Tl2TcMo after structural relaxation. Source: Alexandria via LeMat-Bulk, functional PBE.

Values from the calculation:
**Symmetry**: F-43m, No. 216
**Energy above the lowest structure with this stoichiometry**: 2.53 eV per formula unit
**Energy relative to the elements**: 0.99 eV/atom

abc: 4.7938 4.7938 4.7938
angles: 60.00 60.00 60.00
Each line ends with the local moment (μB).
Fractional coordinates of all 4 atoms:
Tc 0.7500 0.7500 0.7500  -0.58
Mo 0.5000 0.5000 0.5000  0.69
Tl 0.2500 0.2500 0.2500  0.00
Tl 0.0000 0.0000 0.0000  0.00

CsMgTa2H after structural relaxation. Source: Alexandria via LeMat-Bulk, functional PBE.

Values from the calculation:
**Symmetry**: P4/mmm, No. 123

abc: 4.2761 5.4537 4.2761
angles: 90.00 90.00 90.00
Each line ends with the local moment (μB).
Fractional coordinates of all 5 atoms:
Ta 0.5000 0.0000 0.0000  0.44
Ta 0.0000 0.0000 0.5000  0.34
Cs 0.0000 0.5000 0.0000  0.08
Mg 0.5000 0.5000 0.5000  0.00
H 0.0000 0.0000 0.0000  0.00

Pr2Dy3Tm3 after structural relaxation. Source: Alexandria via LeMat-Bulk, functional PBE.

Values from the calculation:
**Symmetry**: R32, No. 155
**Energy above the lowest structure with this stoichiometry**: 0.65 eV per formula unit
**Energy relative to the elements**: 0.23 eV/atom

abc: 6.3836 6.3836 6.3836
angles: 90.02 90.02 89.98
Fractional coordinates of all 8 atoms:
Tm 0.5000 0.2527 0.2527
Tm 0.2527 0.7473 0.5000
Tm 0.7473 0.5000 0.7473
Dy 0.0000 0.2523 0.2523
Dy 0.2523 0.7477 0.0000
Dy 0.7477 0.0000 0.7477
Pr 0.2511 0.2511 0.7489
Pr 0.7489 0.7489 0.2511

Ni2MoW after structural relaxation. Source: Alexandria via LeMat-Bulk, functional PBE.

Values from the calculation:
**Symmetry**: Cmm2, No. 35
**Energy above the lowest structure with this stoichiometry**: 0.22 eV per formula unit
**Energy relative to the elements**: 0.05 eV/atom

abc: 2.6670 2.6670 7.5977
angles: 90.00 90.00 89.51
Fractional coordinates of all 4 atoms:
Mo 0.5000 0.5000 0.7762
W 0.0000 0.0000 0.4738
Ni 0.5000 0.5000 0.2363
Ni 0.0000 0.0000 0.0136

Te2PbO8 after structural relaxation. Source: Alexandria via LeMat-Bulk, functional PBE.

Values from the calculation:
**E_form (uncorrected)**: -0.5144 eV per atom
**Symmetry**: C2/m, No. 12

abc: 6.1824 5.4847 6.2744
angles: 101.51 90.00 124.31
Fractional coordinates of all 11 atoms:
O 0.7755 0.5509 0.8142
O 0.1321 0.2642 0.7446
O 0.8679 0.7358 0.2554
O 0.1759 0.7730 0.6016
O 0.4028 0.2270 0.3984
O 0.8241 0.2270 0.3984
O 0.2245 0.4491 0.1858
O 0.5972 0.7730 0.6016
Pb 0.0000 0.0000 0.0000
Te 0.7765 0.5530 0.4939
Te 0.2235 0.4470 0.5061

Li4Mg3Ge4 after structural relaxation. Source: Alexandria via LeMat-Bulk, functional PBE.

Values from the calculation:
**Symmetry**: Immm, No. 71
**Energy above the lowest structure with this stoichiometry**: 0.00 eV per formula unit
**Energy relative to the elements**: -0.21 eV/atom

abc: 2.9923 8.7230 8.9423
angles: 119.19 99.63 90.00
Fractional coordinates of all 11 atoms:
Li 0.6715 0.4525 0.3431
Li 0.3285 0.1094 0.6569
Li 0.6715 0.8906 0.3431
Li 0.3285 0.5475 0.6569
Mg 0.0000 0.5000 0.0000
Mg 0.8968 0.8968 0.7937
Mg 0.1032 0.1032 0.2063
Ge 0.5000 0.7814 0.0000
Ge 0.5000 0.2186 0.0000
Ge 0.2416 0.7416 0.4831
Ge 0.7584 0.2584 0.5169

CaRh2Br after structural relaxation. Source: Alexandria via LeMat-Bulk, functional PBE.

Values from the calculation:
**E_form (uncorrected)**: 0.0989 eV per atom
**Symmetry**: F-43m, No. 216
**Energy above the lowest structure with this stoichiometry**: 1.65 eV per formula unit

abc: 4.7682 4.7682 4.7682
angles: 60.00 60.00 60.00
Each line ends with the local moment (μB).
Fractional coordinates of all 4 atoms:
Br 0.5000 0.5000 0.5000  0.01
Rh 0.0000 0.0000 0.0000  0.70
Rh 0.7500 0.7500 0.7500  0.82
Ca 0.2500 0.2500 0.2500  0.00

Sr2LuIrO6 after structural relaxation. Source: Alexandria via LeMat-Bulk, functional PBE.

Values from the calculation:
**E_form (uncorrected)**: -2.4064 eV per atom
**Symmetry**: P2_1/c, No. 14

abc: 5.7950 5.7794 9.9962
angles: 54.90 90.00 90.00
Each line ends with the local moment (μB).
Fractional coordinates of all 20 atoms:
O 0.7711 0.6725 0.5336  0.12
O 0.9879 0.8017 0.7613  0.11
O 0.7080 0.2626 0.4673  0.12
O 0.7920 0.2626 0.9673  0.12
O 0.2920 0.7374 0.5327  0.12
O 0.2289 0.3275 0.4664  0.12
O 0.5121 0.8017 0.2613  0.11
O 0.7289 0.6725 0.0336  0.12
O 0.0121 0.1983 0.2387  0.11
O 0.2711 0.3275 0.9664  0.12
O 0.4879 0.1983 0.7387  0.11
O 0.2080 0.7374 0.0327  0.12
Sr 0.9719 0.7438 0.2507  0.01
Sr 0.4719 0.2562 0.2493  0.01
Sr 0.5281 0.7438 0.7507  0.01
Sr 0.0281 0.2562 0.7493  0.01
Lu 0.0000 0.0000 0.5000  -0.01
Lu 0.5000 0.0000 0.0000  -0.01
Ir 0.0000 0.5000 0.0000  1.14
Ir 0.5000 0.5000 0.5000  1.14

Ca2Sn2Au after structural relaxation. Source: Alexandria via LeMat-Bulk, functional PBE.

Values from the calculation:
**Symmetry**: P4/mbm, No. 127
**Energy relative to the elements**: -0.59 eV/atom

abc: 7.4582 7.4582 4.8726
angles: 90.00 90.00 90.00
Fractional coordinates of all 10 atoms:
Au 0.5000 0.5000 0.0000
Au 0.0000 0.0000 0.0000
Sn 0.3571 0.8571 0.0000
Sn 0.1429 0.3571 0.0000
Sn 0.6429 0.1429 0.0000
Sn 0.8571 0.6429 0.0000
Ca 0.8348 0.3348 0.5000
Ca 0.6652 0.8348 0.5000
Ca 0.3348 0.1652 0.5000
Ca 0.1652 0.6652 0.5000

PrSm4Rh2 after structural relaxation. Source: Alexandria via LeMat-Bulk, functional PBE.

Values from the calculation:
**Symmetry**: P2_1/m, No. 11
**Energy relative to the elements**: -0.39 eV/atom

abc: 6.6511 7.9746 7.9861
angles: 113.06 90.00 90.00
Fractional coordinates of all 14 atoms:
Sm 0.2500 0.9842 0.6186
Sm 0.7500 0.0158 0.3814
Sm 0.7500 0.7488 0.6628
Sm 0.4955 0.5908 0.2401
Sm 0.9955 0.4092 0.7599
Sm 0.2500 0.2512 0.3372
Sm 0.0045 0.5908 0.2401
Sm 0.5045 0.4092 0.7599
Pr 0.2500 0.8455 0.9755
Pr 0.7500 0.1545 0.0245
Rh 0.2500 0.6283 0.5926
Rh 0.2500 0.2600 0.9916
Rh 0.7500 0.7400 0.0084
Rh 0.7500 0.3717 0.4074

Ac2La3PrBi6 after structural relaxation. Source: Alexandria via LeMat-Bulk, functional PBE.

Values from the calculation:
**Symmetry**: C2/m, No. 12
**Energy relative to the elements**: -1.02 eV/atom

abc: 4.7581 9.5123 10.6297
angles: 102.92 102.93 90.00
Fractional coordinates of all 12 atoms:
Bi 0.6655 0.0757 0.3310
Bi 0.3355 0.4105 0.6710
Bi 0.9969 0.2467 0.9938
Bi 0.6645 0.5895 0.3290
Bi 0.3345 0.9243 0.6690
Bi 0.0031 0.7533 0.0062
Ac 0.1655 0.3320 0.3310
Ac 0.8345 0.6680 0.6690
La 0.8326 0.1653 0.6651
La 0.1674 0.8347 0.3349
La 0.5000 0.5000 0.0000
Pr 0.5000 0.0000 0.0000

Na4Ge5Pt3 after structural relaxation. Source: Alexandria via LeMat-Bulk, functional PBE.

Values from the calculation:
**Symmetry**: C2/m, No. 12
**Energy relative to the elements**: -0.28 eV/atom

abc: 4.6934 8.9577 10.4345
angles: 137.31 90.00 105.19
Fractional coordinates of all 12 atoms:
Ge 0.6051 0.2102 0.1594
Ge 0.3020 0.6040 0.1430
Ge 0.3949 0.7898 0.8406
Ge 0.0000 0.0000 0.5000
Ge 0.6980 0.3960 0.8570
Pt 0.7400 0.4800 0.1440
Pt 0.5000 0.0000 0.5000
Pt 0.2600 0.5200 0.8560
Na 0.0349 0.0697 0.8596
Na 0.9651 0.9303 0.1404
Na 0.7012 0.4024 0.5654
Na 0.2988 0.5976 0.4346

PuScPaMo after structural relaxation. Source: Alexandria via LeMat-Bulk, functional PBE.

Values from the calculation:
**Symmetry**: F-43m, No. 216
**Energy relative to the elements**: 0.12 eV/atom

abc: 4.9204 4.9204 4.9204
angles: 60.00 60.00 60.00
Each line ends with the local moment (μB).
Fractional coordinates of all 4 atoms:
Pa 0.2500 0.2500 0.2500  0.84
Mo 0.0000 0.0000 0.0000  -0.59
Sc 0.7500 0.7500 0.7500  0.28
Pu 0.5000 0.5000 0.5000  5.37

LaNd15Ho4 after structural relaxation. Source: Alexandria via LeMat-Bulk, functional PBE.

Values from the calculation:
**Symmetry**: P4/mmm, No. 123
**Energy relative to the elements**: 0.01 eV/atom

abc: 5.1744 5.1744 25.8025
angles: 90.00 90.00 90.00
Fractional coordinates of all 20 atoms:
Ho 0.0000 0.0000 0.4008
Ho 0.0000 0.0000 0.7981
Ho 0.0000 0.0000 0.5992
Ho 0.0000 0.0000 0.2019
La 0.0000 0.0000 0.0000
Nd 0.5000 0.5000 0.2029
Nd 0.5000 0.5000 0.5992
Nd 0.5000 0.0000 0.3014
Nd 0.0000 0.5000 0.1027
Nd 0.5000 0.0000 0.5000
Nd 0.5000 0.0000 0.1027
Nd 0.5000 0.5000 0.7971
Nd 0.0000 0.5000 0.6986
Nd 0.5000 0.5000 0.4008
Nd 0.5000 0.0000 0.6986
Nd 0.5000 0.0000 0.8973
Nd 0.0000 0.5000 0.8973
Nd 0.5000 0.5000 0.0000
Nd 0.0000 0.5000 0.3014
Nd 0.0000 0.5000 0.5000

RbAsPdSe2 after structural relaxation. Source: Alexandria via LeMat-Bulk, functional PBE.

Values from the calculation:
**E_form (uncorrected)**: 1.6102 eV per atom
**Symmetry**: P4/mmm, No. 123
**Energy above the lowest structure with this stoichiometry**: 8.62 eV per formula unit

abc: 5.7967 5.7967 5.6440
angles: 90.00 90.00 90.00
Fractional coordinates of all 5 atoms:
Pd 0.5000 0.5000 0.5000
Se 0.0000 0.5000 0.0000
Se 0.5000 0.0000 0.0000
As 0.0000 0.0000 0.5000
Rb 0.0000 0.0000 0.0000

BaNdAgCl6 after structural relaxation. Source: Alexandria via LeMat-Bulk, functional PBE.

Values from the calculation:
**E_form (uncorrected)**: -1.9319 eV per atom
**Symmetry**: P-31c, No. 163

abc: 7.0865 7.0865 13.6633
angles: 90.00 90.00 120.00
Fractional coordinates of all 18 atoms:
Cl 0.3531 0.3585 0.8659
Cl 0.3585 0.3530 0.3659
Cl 0.6469 0.6415 0.1341
Cl 0.9946 0.3530 0.1341
Cl 0.9946 0.6415 0.3659
Cl 0.0054 0.6470 0.8659
Cl 0.6415 0.9946 0.8659
Cl 0.0054 0.3585 0.6341
Cl 0.6469 0.0054 0.3659
Cl 0.6415 0.6470 0.6341
Cl 0.3531 0.9946 0.6341
Cl 0.3585 0.0054 0.1341
Ba 0.0000 0.0000 0.0000
Ba 0.0000 0.0000 0.5000
Ag 0.3333 0.6667 0.2500
Ag 0.6667 0.3333 0.7500
Nd 0.3333 0.6667 0.7500
Nd 0.6667 0.3333 0.2500

RuRh after structural relaxation. Source: Alexandria via LeMat-Bulk, functional PBE.

Values from the calculation:
**Symmetry**: I-43m, No. 217
**Energy relative to the elements**: 1.37 eV/atom

abc: 7.5363 7.5363 7.5363
angles: 90.00 90.00 90.00
Fractional coordinates of all 16 atoms:
Rh 0.6587 0.3413 0.6587
Rh 0.8413 0.8413 0.8413
Rh 0.6587 0.6587 0.3413
Rh 0.1587 0.1587 0.8413
Rh 0.8413 0.1587 0.1587
Rh 0.3413 0.6587 0.6587
Rh 0.1587 0.8413 0.1587
Rh 0.3413 0.3413 0.3413
Ru 0.3436 0.6564 0.3436
Ru 0.1564 0.1564 0.1564
Ru 0.1564 0.8436 0.8436
Ru 0.6564 0.3436 0.3436
Ru 0.6564 0.6564 0.6564
Ru 0.8436 0.1564 0.8436
Ru 0.8436 0.8436 0.1564
Ru 0.3436 0.3436 0.6564

TaNb3Rh4 after structural relaxation. Source: Alexandria via LeMat-Bulk, functional PBE.

Values from the calculation:
**Symmetry**: Pmma, No. 51
**Energy relative to the elements**: -0.42 eV/atom

abc: 4.8835 5.7251 9.1771
angles: 90.00 90.00 90.00
Fractional coordinates of all 16 atoms:
Rh 0.5000 0.7490 0.0000
Rh 0.8658 0.2513 0.2500
Rh 0.5000 0.2510 0.5000
Rh 0.1342 0.2513 0.7500
Rh 0.5000 0.7490 0.5000
Rh 0.8658 0.7487 0.2500
Rh 0.5000 0.2510 0.0000
Rh 0.1342 0.7487 0.7500
Nb 0.3749 0.0000 0.2500
Nb 0.0000 0.0000 0.0000
Nb 0.6251 0.0000 0.7500
Nb 0.6258 0.5000 0.7500
Nb 0.0000 0.0000 0.5000
Nb 0.3742 0.5000 0.2500
Ta 0.0000 0.5000 0.0000
Ta 0.0000 0.5000 0.5000

DyY3Sc3S8 after structural relaxation. Source: Alexandria via LeMat-Bulk, functional PBE.

Values from the calculation:
**E_form (uncorrected)**: -1.9846 eV per atom
**Symmetry**: R-3m, No. 166

abc: 7.5789 7.5786 7.6462
angles: 119.71 90.00 120.00
Fractional coordinates of all 15 atoms:
S 0.7455 0.4910 0.2566
S 0.2554 0.5108 0.2663
S 0.2545 0.5090 0.7434
S 0.7344 0.9889 0.7434
S 0.7455 0.0111 0.2566
S 0.2656 0.0111 0.2566
S 0.7446 0.4892 0.7337
S 0.2545 0.9889 0.7434
Sc 0.0000 0.5000 0.5000
Sc 0.5000 0.0000 0.5000
Sc 0.5000 0.5000 0.5000
Y 0.0000 0.5000 0.0000
Y 0.5000 0.5000 0.0000
Y 0.0000 0.0000 0.0000
Dy 0.0000 0.0000 0.5000

BaGaI2 after structural relaxation. Source: Alexandria via LeMat-Bulk, functional PBE.

Values from the calculation:
**E_form (uncorrected)**: -0.8826 eV per atom
**Symmetry**: Fm-3m, No. 225
**Energy above the lowest structure with this stoichiometry**: 0.00 eV per formula unit

abc: 5.9711 5.9711 5.9711
angles: 60.00 60.00 60.00
Each line ends with the local moment (μB).
Fractional coordinates of all 4 atoms:
I 0.2500 0.2500 0.2500  0.01
I 0.7500 0.7500 0.7500  0.01
Ga 0.0000 0.0000 0.0000  0.09
Ba 0.5000 0.5000 0.5000  0.06

Mn2ZnRhC after structural relaxation. Source: Alexandria via LeMat-Bulk, functional PBE.

Values from the calculation:
**Symmetry**: P4/mmm, No. 123
**Energy relative to the elements**: -0.05 eV/atom

abc: 3.8769 3.8769 4.0854
angles: 90.00 90.00 90.00
Each line ends with the local moment (μB).
Fractional coordinates of all 5 atoms:
Mn 0.0000 0.5000 0.0000  2.54
Mn 0.5000 0.0000 0.0000  2.54
Rh 0.0000 0.0000 0.5000  0.12
Zn 0.5000 0.5000 0.5000  -0.06
C 0.0000 0.0000 0.0000  -0.17

Taking the records one at a time from the top gives DOS at the Fermi energy values of 0.7 3.1 4.1 17.9 4.9 2.0 3.7 5.0 6.4 4.8 16.9 1.7 4.1 6.7 28.9 11.5 0.0 14.6 15.9 6.8 4.5 3.6 states/eV per cell.
Taking the records one at a time from the top gives total energy values of -0.143 -0.202 -0.173 -0.161 -0.323 -0.185 -0.111 -0.165 -0.259 -0.134 -0.216 -0.194 -0.152 -0.372 -0.174 -0.071 -0.155 -0.255 -0.344 -0.259 -0.106 -0.268 hartree per atom.